CaCo2Hg: optimized geometry, PBE-GGA.

Summary:
Formation energy from the elements ... 0.37 eV/atom
V ... 20.5 A^3/atom
Magnetization ... 0.71 μB/atom

a b c (Å): 4.5370 3.6567 4.9358
angles (deg): 89.96 90.00 90.00
With the nearest neighbours (Å) after each atom.
Sites, in units of the cell vectors:
Ca  0.5000  0.7500  0.7500  4 Hg 3.07, 8 Co 3.12
Co  0.0000  0.2501  0.9782  1 Co 2.25
Co  0.0000  0.2499  0.5218  1 Co 2.25
Hg  0.5000  0.2500  0.2500  4 Co 2.64

***

BaCdS2Cl: optimized geometry, PBE-GGA.

Summary:
V ... 27.3 A^3/atom
Formation energy from raw total energies ... -1.071 eV per atom
Magnetization ... 0.00 μB/atom
Excess energy over the best structure of this formula in the dataset ... 0 meV/atom

a b c (Å): 5.0281 5.0281 5.3945
angles (deg): 90.00 90.00 90.00
With the nearest neighbours (Å) after each atom.
Sites, in units of the cell vectors:
S  0.0000  0.5000  0.0000  2 Cd 2.51
S  0.5000  0.0000  0.0000  2 Cd 2.51
Cl  0.0000  0.0000  0.5000  2 Cd 2.70
Ba  0.5000  0.5000  0.5000  4 Cl 3.56, 8 S 3.69
Cd  0.0000  0.0000  0.0000  4 S 2.51, 2 Cl 2.70